# HgBrO3 | Alexandria via LeMat-Bulk | SCAN | single point on PBEsol structure
data_HgBrO3
_chemical_formula_sum 'Hg4 Br4 O12'
_symmetry_space_group_name_H-M 'P 1'
_symmetry_Int_Tables_number 1
_symmetry_space_group_name_Hall 'P 1'
_cell_length_a 9.659
_cell_length_b 9.659
_cell_length_c 8.454
_cell_angle_alpha 106.93
_cell_angle_beta 106.93
_cell_angle_gamma 27.42
loop_
_atom_site_label
_atom_site_type_symbol
_atom_site_fract_x
_atom_site_fract_y
_atom_site_fract_z
Hg1 Hg 0.047 0.086 0.490
Hg2 Hg 0.086 0.047 0.990
Hg3 Hg 0.914 0.953 0.010
Hg4 Hg 0.953 0.914 0.510
Br1 Br 0.273 0.375 0.658
Br2 Br 0.375 0.273 0.158
Br3 Br 0.625 0.727 0.842
Br4 Br 0.727 0.625 0.342
O1 O 0.027 0.322 0.464
O2 O 0.112 0.525 0.833
O3 O 0.322 0.027 0.964
O4 O 0.333 0.489 0.204
O5 O 0.475 0.888 0.667
O6 O 0.489 0.333 0.704
O7 O 0.511 0.667 0.296
O8 O 0.525 0.112 0.333
O9 O 0.667 0.511 0.796
O10 O 0.678 0.973 0.036
O11 O 0.888 0.475 0.167
O12 O 0.973 0.678 0.536
# DOS at the Fermi energy   0.000 states/eV per atom
# E_form (uncorrected)   3.1 meV/atom
# Symmetry   C2/c (15)
# Raw total energy   -0.78132 Ha/atom

---

# HgBr2O | Alexandria via LeMat-Bulk | SCAN | single point on PBEsol structure
data_HgBr2O
_chemical_formula_sum 'Hg1 Br2 O1'
_symmetry_space_group_name_H-M 'P 1'
_symmetry_Int_Tables_number 1
_symmetry_space_group_name_Hall 'P 1'
_cell_length_a 8.399
_cell_length_b 8.399
_cell_length_c 8.399
_cell_angle_alpha 26.18
_cell_angle_beta 26.18
_cell_angle_gamma 26.18
loop_
_atom_site_label
_atom_site_type_symbol
_atom_site_fract_x
_atom_site_fract_y
_atom_site_fract_z
Hg1 Hg 0.000 0.000 0.000
Br1 Br 0.101 0.101 0.101
Br2 Br 0.899 0.899 0.899
O1 O 0.500 0.500 0.500
# DOS at the Fermi energy   0.388 states/eV per atom
# E_form (uncorrected)   491.8 meV/atom
# Symmetry   R-3m (166)
# Raw total energy   -1.02300 Ha/atom

---

# HgBr3O | Alexandria via LeMat-Bulk | SCAN | single point on PBEsol structure
data_HgBr3O
_chemical_formula_sum 'Hg1 Br3 O1'
_symmetry_space_group_name_H-M 'P 1'
_symmetry_Int_Tables_number 1
_symmetry_space_group_name_Hall 'P 1'
_cell_length_a 4.719
_cell_length_b 4.719
_cell_length_c 4.719
_cell_angle_alpha 90.00
_cell_angle_beta 90.00
_cell_angle_gamma 90.00
loop_
_atom_site_label
_atom_site_type_symbol
_atom_site_fract_x
_atom_site_fract_y
_atom_site_fract_z
Hg1 Hg 0.000 0.000 0.000
Br1 Br 0.000 0.500 0.500
Br2 Br 0.500 0.000 0.500
Br3 Br 0.500 0.500 0.000
O1 O 0.500 0.500 0.500
# DOS at the Fermi energy   0.512 states/eV per atom
# E_form (uncorrected)   467.9 meV/atom
# Symmetry   Pm-3m (221)
# Raw total energy   -0.95869 Ha/atom

---

# HgBrO4 | Alexandria via LeMat-Bulk | SCAN | single point on PBEsol structure
data_HgBrO4
_chemical_formula_sum 'Hg4 Br4 O16'
_symmetry_space_group_name_H-M 'P 1'
_symmetry_Int_Tables_number 1
_symmetry_space_group_name_Hall 'P 1'
_cell_length_a 5.004
_cell_length_b 10.416
_cell_length_c 6.780
_cell_angle_alpha 90.00
_cell_angle_beta 90.00
_cell_angle_gamma 90.00
loop_
_atom_site_label
_atom_site_type_symbol
_atom_site_fract_x
_atom_site_fract_y
_atom_site_fract_z
Hg1 Hg 0.175 0.250 0.000
Hg2 Hg 0.175 0.250 0.500
Hg3 Hg 0.825 0.750 0.000
Hg4 Hg 0.825 0.750 0.500
Br1 Br 0.444 0.526 0.250
Br2 Br 0.444 0.974 0.750
Br3 Br 0.556 0.026 0.250
Br4 Br 0.556 0.474 0.750
O1 O 0.160 0.120 0.750
O2 O 0.160 0.380 0.250
O3 O 0.199 0.131 0.250
O4 O 0.199 0.369 0.750
O5 O 0.324 0.602 0.054
O6 O 0.324 0.602 0.446
O7 O 0.324 0.898 0.554
O8 O 0.324 0.898 0.946
O9 O 0.676 0.102 0.054
O10 O 0.676 0.102 0.446
O11 O 0.676 0.398 0.554
O12 O 0.676 0.398 0.946
O13 O 0.801 0.631 0.250
O14 O 0.801 0.869 0.750
O15 O 0.840 0.620 0.750
O16 O 0.840 0.880 0.250
# DOS at the Fermi energy   0.402 states/eV per atom
# E_form (uncorrected)   208.5 meV/atom
# Symmetry   Pbcm (57)
# Raw total energy   -0.68170 Ha/atom

---

# HgOsBr2 | Alexandria via LeMat-Bulk | SCAN | single point on PBEsol structure
data_HgOsBr2
_chemical_formula_sum 'Hg1 Os1 Br2'
_symmetry_space_group_name_H-M 'P 1'
_symmetry_Int_Tables_number 1
_symmetry_space_group_name_Hall 'P 1'
_cell_length_a 7.107
_cell_length_b 7.107
_cell_length_c 7.107
_cell_angle_alpha 154.99
_cell_angle_beta 140.46
_cell_angle_gamma 47.36
loop_
_atom_site_label
_atom_site_type_symbol
_atom_site_fract_x
_atom_site_fract_y
_atom_site_fract_z
Hg1 Hg 0.000 0.000 0.000
Os1 Os 0.500 0.500 0.000
Br1 Br 0.344 0.844 0.500
Br2 Br 0.656 0.156 0.500
# Relative energy among the computed polymorphs   0.000 eV per atom
# DOS at the Fermi energy   0.373 states/eV per atom
# E_form (uncorrected)   421.7 meV/atom
# Symmetry   Immm (71)
# Raw total energy   -1.62871 Ha/atom

---

# HgOsBr4 | Alexandria via LeMat-Bulk | SCAN | single point on PBEsol structure
data_HgOsBr4
_chemical_formula_sum 'Hg1 Os1 Br4'
_symmetry_space_group_name_H-M 'P 1'
_symmetry_Int_Tables_number 1
_symmetry_space_group_name_Hall 'P 1'
_cell_length_a 6.042
_cell_length_b 6.042
_cell_length_c 6.042
_cell_angle_alpha 60.00
_cell_angle_beta 60.00
_cell_angle_gamma 60.00
loop_
_atom_site_label
_atom_site_type_symbol
_atom_site_fract_x
_atom_site_fract_y
_atom_site_fract_z
Hg1 Hg 0.000 0.000 0.000
Os1 Os 0.250 0.250 0.250
Br1 Br 0.127 0.624 0.624
Br2 Br 0.624 0.127 0.624
Br3 Br 0.624 0.624 0.127
Br4 Br 0.624 0.624 0.624
# DOS at the Fermi energy   1.324 states/eV per atom
# E_form (uncorrected)   1555.2 meV/atom
# Symmetry   F-43m (216)
# Raw total energy   -1.27736 Ha/atom